This record from Alexandria describes a relaxed CuAgSb2 crystal. The functional is PBE-GGA.

Its total energy is -3.538 eV/atom. The value obtained for the polymorph energy (0 for the lowest one) is 135 meV per atom. The volume is 21.88 A^3/atom.

The structure belongs to space group R3m (No. 160, hexagonal axes); the cell edges are 3.3910, 3.3910 and 26.3614 Å and the angles 90.00°, 90.00° and 120.00°. The inequivalent atoms are Cu at (0.0000, 0.0000, 0.0000), Ag at (0.0000, 0.0000, 0.2644), Sb at (0.0000, 0.0000, 0.5103) and Sb at (0.0000, 0.0000, 0.7363).